1.
VASP calculation (GGA-PBEsol) on SrY2Si after structural relaxation.

The value obtained for the uncorrected formation energy is -0.9 eV/f.u. The value obtained for the density of states at the Fermi level is 0.760 states/eV/atom.

The space group is P4/mmm (No. 123) and the conventional cell measures 3.496, 3.496 and 9.737 Å, with angles of 90.00, 90.00 and 90.00 degrees. The distinct sites, in fractional coordinates, are Sr at (0.000, 0.000, 0.000), Y at (0.500, 0.500, 0.327) and Si at (0.000, 0.000, 0.500).

2.
VASP calculation (GGA-PBEsol) on LiFe2Cl after structural relaxation.

The value obtained for the uncorrected formation energy is -0.5 eV/f.u. The value obtained for the density of states at the Fermi level is 0.562 states/eV/atom.

The space group is Amm2 (No. 38) and the conventional cell measures 3.017, 3.125 and 11.709 Å, with angles of 90.00, 90.00 and 90.00 degrees. The distinct sites, in fractional coordinates, are Li at (0.000, 0.000, 0.000), Fe at (0.000, 0.000, 0.237), Fe at (0.500, 0.000, 0.647) and Cl at (0.500, 0.000, 0.425).

3.
VASP calculation (GGA-PBEsol) on YGaPt after structural relaxation.

As for the energy of formation: -3.397 eV per formula unit. The value obtained for the density of states at the Fermi level is 0.504 states/eV/atom.

The space group is Pnma (No. 62) and the conventional cell measures 6.839, 4.390 and 7.566 Å, with angles of 90.00, 90.00 and 90.00 degrees. The distinct sites, in fractional coordinates, are Y at (0.014, 0.250, 0.199), Ga at (0.174, 0.250, 0.577) and Pt at (0.220, 0.750, 0.404).

4.
VASP calculation (GGA-PBEsol) on Na3LiI after structural relaxation.

The value obtained for the uncorrected formation energy is -0.3 eV/f.u. The value obtained for the density of states at the Fermi level is 0.748 states/eV/atom.

The space group is Pm-3m (No. 221) and the conventional cell measures 5.733, 5.733 and 5.733 Å, with angles of 90.00, 90.00 and 90.00 degrees. The distinct sites, in fractional coordinates, are Na at (0.000, 0.000, 0.500), Li at (0.000, 0.000, 0.000) and I at (0.500, 0.500, 0.500).

5.
VASP calculation (GGA-PBEsol) on LiCa after structural relaxation.

As for the energy of formation: 0.125 eV per formula unit. The value obtained for the density of states at the Fermi level is 0.787 states/eV/atom.

The space group is P2_13 (No. 198) and the conventional cell measures 6.289, 6.289 and 6.289 Å, with angles of 90.00, 90.00 and 90.00 degrees. The distinct sites, in fractional coordinates, are Li at (0.099, 0.099, 0.099) and Ca at (0.088, 0.588, 0.912).

6.
VASP calculation (GGA-PBEsol) on P2RuNO after structural relaxation.

The value obtained for the uncorrected formation energy is 4.1 eV/f.u. The value obtained for the density of states at the Fermi level is 0.672 states/eV/atom.

The space group is P4/mmm (No. 123) and the conventional cell measures 3.819, 3.819 and 3.656 Å, with angles of 90.00, 90.00 and 90.00 degrees. The distinct sites, in fractional coordinates, are P at (0.000, 0.500, 0.000), Ru at (0.000, 0.000, 0.500), N at (0.500, 0.500, 0.000) and O at (0.500, 0.500, 0.500).